# CoReNF2, optimized geometry, DFT GGA+U
# Relative energy among the computed polymorphs ... 0.000 eV/atom
# Calculated density ... 7.31 g/cm3
# Fermi-level density of states ... 4.949 states/eV/cell
data_CoReNF2
_symmetry_space_group_name_H-M 'P 4/m m m'
_symmetry_Int_Tables_number 123
_symmetry_space_group_name_Hall '-P 4 2'
_cell_length_a 4.203
_cell_length_b 4.203
_cell_length_c 3.823
_cell_angle_alpha 90.00
_cell_angle_beta 90.00
_cell_angle_gamma 90.00
loop_
_atom_site_label
_atom_site_type_symbol
_atom_site_fract_x
_atom_site_fract_y
_atom_site_fract_z
_atom_site_occupancy
Co1 Co 0.000 0.000 0.000 1
Re1 Re 0.500 0.500 0.500 1
N1 N 0.500 0.500 0.000 1
F1 F 0.000 0.500 0.500 1